Entry 1:
# Li2SiSnW

Crystalline Li2SiSnW at its relaxed geometry (PBE, the Alexandria database).

a b c (Å): 4.4285 4.4285 5.0935
angles (deg): 90.00 90.00 90.00
Closest atoms and distances in Å follow each position.
Element x y z (fractional)
Li 0.0000 0.5000 0.0000  2 Sn 2.21
Li 0.5000 0.0000 0.0000  2 Sn 2.21
Si 0.0000 0.0000 0.5000  2 Sn 2.55
Sn 0.0000 0.0000 0.0000  4 Li 2.21
W 0.5000 0.5000 0.5000  4 Si 3.13, 8 Li 3.37

Results
Its total energy is -18.379 eV per cell. Its space group is P4/mmm.

Entry 2:
# Rb3NbCr2Te6

Crystalline Rb3NbCr2Te6 at its relaxed geometry (PBE, the Alexandria database).

a b c (Å): 7.3572 7.3572 8.6248
angles (deg): 98.20 98.20 120.03
Closest atoms and distances in Å follow each position.
Element x y z (fractional)
Rb 0.0000 0.0000 0.0000  6 Te 3.61-3.65
Rb 0.3359 0.6641 0.0000  6 Te 3.62-3.66
Rb 0.6641 0.3359 0.0000  6 Te 3.62-3.66
Nb 0.5000 0.5000 0.5000  6 Te 2.89
Cr 0.1668 0.8332 0.5000  6 Te 2.82-2.83
Cr 0.8332 0.1668 0.5000  6 Te 2.82-2.83
Te 0.1017 0.4415 0.3250  2 Cr 2.83, 1 Nb 2.89
Te 0.2184 0.2184 0.6743  2 Cr 2.82, 1 Nb 2.89
Te 0.4415 0.1017 0.3250  2 Cr 2.83, 1 Nb 2.89
Te 0.5585 0.8983 0.6750  2 Cr 2.83, 1 Nb 2.89
Te 0.7816 0.7816 0.3257  2 Cr 2.82, 1 Nb 2.89
Te 0.8983 0.5585 0.6750  2 Cr 2.83, 1 Nb 2.89

Results
Its total energy is -57.274 eV per cell. Its space group is C2/m.

Entry 3:
# Dy3Ho3Ni4

Crystalline Dy3Ho3Ni4 at its relaxed geometry (PBE, the Alexandria database).

a b c (Å): 3.8645 7.4888 7.4888
angles (deg): 89.96 90.00 90.00
Closest atoms and distances in Å follow each position.
Element x y z (fractional)
Dy 0.0000 0.0000 0.0000  6 Ni 2.92-2.97
Dy 0.5000 0.3361 0.8363  4 Ni 2.96-2.98
Dy 0.5000 0.8363 0.3361  4 Ni 2.96-2.98
Ho 0.0000 0.1714 0.5011  6 Ni 2.91-2.96
Ho 0.0000 0.5011 0.1714  6 Ni 2.91-2.96
Ho 0.0000 0.6701 0.6701  6 Ni 2.91-2.95
Ni 0.5000 0.2134 0.2134  1 Ni 2.61, 4 Ho 2.91
Ni 0.5000 0.4593 0.4593  1 Ni 2.61, 4 Ho 2.91
Ni 0.5000 0.7114 0.9585  1 Ni 2.62, 2 Ho 2.91, 2 Dy 2.92
Ni 0.5000 0.9585 0.7114  1 Ni 2.62, 2 Ho 2.91, 2 Dy 2.92

Results
Its space group is Amm2. The formation energy is -3.34 eV per formula unit.

Entry 4:
# RbFe2Tc

Crystalline RbFe2Tc at its relaxed geometry (PBE, the Alexandria database).

a b c (Å): 4.4734 4.4734 4.4734
angles (deg): 60.00 60.00 60.00
Closest atoms and distances in Å follow each position.
Element x y z (fractional)
Rb 0.0000 0.0000 0.0000  8 Fe 2.74
Fe 0.2500 0.2500 0.2500  4 Tc 2.74, 4 Rb 2.74
Fe 0.7500 0.7500 0.7500  4 Tc 2.74, 4 Rb 2.74
Tc 0.5000 0.5000 0.5000  8 Fe 2.74

Results
Its space group is Fm-3m. The formation energy is 7.65 eV per formula unit.

Entry 5:
# ThPa2Ir

Crystalline ThPa2Ir at its relaxed geometry (PBE, the Alexandria database).

a b c (Å): 6.7109 6.7109 6.7109
angles (deg): 37.54 37.54 37.54
Closest atoms and distances in Å follow each position.
Element x y z (fractional)
Th 0.0000 0.0000 0.0000  6 Pa 3.06
Pa 0.2385 0.2385 0.2385  3 Ir 2.83, 3 Th 3.06
Pa 0.7615 0.7615 0.7615  3 Ir 2.83, 3 Th 3.06
Ir 0.5000 0.5000 0.5000  6 Pa 2.83

Results
Its space group is R-3m. The formation energy is 0.30 eV per formula unit.

Entry 6:
# Fe5Mo

Crystalline Fe5Mo at its relaxed geometry (PBE, the Alexandria database).

a b c (Å): 4.7632 4.7632 5.9596
angles (deg): 103.20 103.20 30.91
Closest atoms and distances in Å follow each position.
Element x y z (fractional)
Fe 0.0000 0.0000 0.0000  9 Fe 2.44-2.60, 3 Mo 2.45-2.53
Fe 0.0562 0.0562 0.5973  10 Fe 2.40-2.60, 2 Mo 2.60
Fe 0.3452 0.3452 0.6517  10 Fe 2.38-2.60, 2 Mo 2.59
Fe 0.4030 0.4030 0.2830  10 Fe 2.38-2.54, 2 Mo 2.60
Fe 0.6756 0.6756 0.3391  11 Fe 2.45-2.60, 1 Mo 2.51
Mo 0.7268 0.7268 0.9428  10 Fe 2.45-2.60, 2 Mo 2.54

Results
Its space group is Cm. The formation energy is 0.96 eV per formula unit.

Entry 7:
# Cs2RbHgAs2

Crystalline Cs2RbHgAs2 at its relaxed geometry (PBE, the Alexandria database).

a b c (Å): 9.5221 9.5221 9.5221
angles (deg): 128.21 73.90 131.21
Closest atoms and distances in Å follow each position.
Element x y z (fractional)
Cs 0.1762 0.2086 0.3849  3 As 3.57-3.93, 2 Hg 3.75
Cs 0.3238 0.7086 0.0324  3 As 3.57-3.93, 2 Hg 3.75
Cs 0.6762 0.2914 0.9676  3 As 3.57-3.93, 2 Hg 3.75
Cs 0.8238 0.7914 0.6151  3 As 3.57-3.93, 2 Hg 3.75
Rb 0.2500 0.7500 0.5000  4 As 3.51
Rb 0.7500 0.2500 0.5000  4 As 3.51
Hg 0.2500 0.2500 0.0000  4 As 2.79
Hg 0.7500 0.7500 0.0000  4 As 2.79
As 0.0816 0.8157 0.8973  2 Hg 2.79
As 0.4184 0.3157 0.7340  2 Hg 2.79
As 0.5816 0.6843 0.2660  2 Hg 2.79
As 0.9184 0.1843 0.1027  2 Hg 2.79

Results
Its space group is Ibam. The formation energy is -1.52 eV per formula unit.

Entry 8:
# Yb4Sb3

Crystalline Yb4Sb3 at its relaxed geometry (PBE, the Alexandria database).

a b c (Å): 8.1111 8.1111 8.1111
angles (deg): 109.47 109.47 109.47
Closest atoms and distances in Å follow each position.
Element x y z (fractional)
Yb 0.0000 0.3530 0.5000  6 Sb 3.14-3.34
Yb 0.0000 0.8530 0.5000  6 Sb 3.14-3.34
Yb 0.1470 0.1470 0.1470  6 Sb 3.14-3.34
Yb 0.3530 0.5000 0.0000  6 Sb 3.14-3.34
Yb 0.5000 0.0000 0.3530  6 Sb 3.14-3.34
Yb 0.5000 0.0000 0.8530  6 Sb 3.14-3.34
Yb 0.6470 0.6470 0.6470  6 Sb 3.14-3.34
Yb 0.8530 0.5000 0.0000  6 Sb 3.14-3.34
Sb 0.1250 0.7500 0.8750  8 Yb 3.14-3.34
Sb 0.2500 0.6250 0.3750  8 Yb 3.14-3.34
Sb 0.3750 0.2500 0.6250  8 Yb 3.14-3.34
Sb 0.6250 0.3750 0.2500  8 Yb 3.14-3.34
Sb 0.7500 0.8750 0.1250  8 Yb 3.14-3.34
Sb 0.8750 0.1250 0.7500  8 Yb 3.14-3.34

Results
Its total energy is -51.820 eV per cell. Its space group is I-43d.

Results for calculated density: 5.727, 5.225, 9.325, 7.743, 14.623, 9.231, 4.681, 8.549 (in g/cm³, following the order of the records).